1.
The following is a DFT calculation (GGA-PBE) of a relaxed structure of SrLi2Au.

POSCAR file:
```
SrLi2Au
1.0
-2.7414 0.9502 -3.1280
1.9844 -2.5674 -2.5190
-3.6225 -4.6295 1.7684
Li Au Sr
2 1 1
direct
0.5000 0.3724 0.0698
0.0000 0.8745 0.0609
0.5000 0.8754 0.7912
0.0000 0.3776 0.5781
```

Results
As for the volume: 108 Å³/f.u. Its energy of formation is -0.35 eV/atom. Its total DFT energy (no corrections) is -2.551 eV per atom.

=====

2.
The following is a DFT calculation (GGA-PBE) of a relaxed structure of LiPmAg.

POSCAR file:
```
LiPmAg
1.0
-2.0129 -2.6498 -1.3135
3.7699 -2.8676 0.0078
-2.8017 0.2389 3.8116
Li Ag Pm
1 1 1
direct
0.1667 0.0000 0.0000
0.1664 0.3333 0.6667
0.6668 0.6667 0.3333
```

Results
As for the volume: 70 Å³/f.u. Its energy of formation is -0.13 eV/atom. Its total DFT energy (no corrections) is -3.299 eV per atom.

=====

Which value of volume does entry 1 give?
108 Å³/f.u.

=====

The lowest total DFT energy (no corrections) belongs to which entry?
LiPmAg

=====

Please write out number 1 again, unchanged.
The following is a DFT calculation (GGA-PBE) of a relaxed structure of SrLi2Au.

POSCAR file:
```
SrLi2Au
1.0
-2.7414 0.9502 -3.1280
1.9844 -2.5674 -2.5190
-3.6225 -4.6295 1.7684
Li Au Sr
2 1 1
direct
0.5000 0.3724 0.0698
0.0000 0.8745 0.0609
0.5000 0.8754 0.7912
0.0000 0.3776 0.5781
```

Results
As for the volume: 108 Å³/f.u. Its energy of formation is -0.35 eV/atom. Its total DFT energy (no corrections) is -2.551 eV per atom.